Entry from the Open Quantum Materials Database: Pr4CI3Cl2 after structural relaxation (PBE).

## Properties
Total energy: -5.00 eV per atom
Relative energy among the computed polymorphs: 9.3 kJ/mol of formula units

Lattice parameters (Å, degrees): 18.231 4.084 8.938 90.00 102.64 90.00
Space group C2/m (No. 12)
Asymmetric unit:
Pr1 0.003 0.000 0.306 (multiplicity 4)
Pr2 0.143 0.500 0.566 (multiplicity 4)
C1 0.000 0.500 0.500 (multiplicity 2)
I1 0.000 0.500 0.000 (multiplicity 2)
I2 0.174 0.000 0.842 (multiplicity 4)
Cl1 0.169 0.000 0.353 (multiplicity 4)

=====

Entry from the Open Quantum Materials Database: Pr4CI3Cl2 after structural relaxation (PBE).

## Properties
Total energy: -5.01 eV per atom
Relative energy among the computed polymorphs: 0.0 kJ/mol of formula units

Lattice parameters (Å, degrees): 19.113 4.067 8.863 90.00 102.61 90.00
Space group C2/m (No. 12)
Asymmetric unit:
Pr1 0.000 0.000 0.197 (multiplicity 4)
Pr2 0.137 0.500 0.073 (multiplicity 4)
C1 0.000 0.500 0.000 (multiplicity 2)
I1 0.000 0.500 0.500 (multiplicity 2)
I2 0.172 0.000 0.817 (multiplicity 4)
Cl1 0.153 0.000 0.306 (multiplicity 4)

=====

Entry from the Open Quantum Materials Database: Pr2Sc2CICl4 after structural relaxation (PBE).

## Properties
Total energy: -5.58 eV per atom
Relative energy among the computed polymorphs: 0.0 kJ/mol of formula units

Lattice parameters (Å, degrees): 16.852 3.770 9.058 90.00 103.00 90.00
Space group C2/m (No. 12)
Asymmetric unit:
Pr1 0.000 0.000 0.196 (multiplicity 4)
Sc1 0.137 0.500 0.061 (multiplicity 4)
C1 0.000 0.500 0.000 (multiplicity 2)
I1 0.000 0.500 0.500 (multiplicity 2)
Cl1 0.173 0.000 0.264 (multiplicity 4)
Cl2 0.175 0.000 0.883 (multiplicity 4)

=====

Entry from the Open Quantum Materials Database: Pr2Sc2CI3Cl2 after structural relaxation (PBE).

## Properties
Total energy: -5.28 eV per atom
Relative energy among the computed polymorphs: 0.0 kJ/mol of formula units

Lattice parameters (Å, degrees): 18.092 3.866 9.042 90.00 103.01 90.00
Space group C2/m (No. 12)
Asymmetric unit:
Pr1 0.002 0.000 0.305 (multiplicity 4)
Sc1 0.128 0.500 0.557 (multiplicity 4)
C1 0.000 0.500 0.500 (multiplicity 2)
I1 0.000 0.500 0.000 (multiplicity 2)
I2 0.178 0.000 0.805 (multiplicity 4)
Cl1 0.165 0.000 0.390 (multiplicity 4)

=====

Entry from the Open Quantum Materials Database: Pr2Sc2CI4Cl after structural relaxation (PBE).

## Properties
Total energy: -5.14 eV per atom
Relative energy among the computed polymorphs: 0.0 kJ/mol of formula units

Lattice parameters (Å, degrees): 20.296 3.899 8.249 90.00 101.72 90.00
Space group C2/m (No. 12)
Asymmetric unit:
Pr1 0.000 0.000 0.215 (multiplicity 4)
Sc1 0.114 0.500 0.057 (multiplicity 4)
C1 0.000 0.500 0.000 (multiplicity 2)
I1 0.161 0.000 0.324 (multiplicity 4)
I2 0.161 0.000 0.837 (multiplicity 4)
Cl1 0.000 0.500 0.500 (multiplicity 2)

=====

Entry from the Open Quantum Materials Database: Pr2Sc2CI3Cl2 after structural relaxation (PBE).

## Properties
Total energy: -5.25 eV per atom
Relative energy among the computed polymorphs: 34.0 kJ/mol of formula units

Lattice parameters (Å, degrees): 18.428 3.863 8.230 90.00 102.01 90.00
Space group C2/m (No. 12)
Asymmetric unit:
Pr1 0.139 0.000 0.077 (multiplicity 4)
Sc1 0.001 0.500 0.818 (multiplicity 4)
C1 0.000 0.000 0.000 (multiplicity 2)
I1 0.000 0.000 0.500 (multiplicity 2)
I2 0.167 0.500 0.790 (multiplicity 4)
Cl1 0.140 0.500 0.329 (multiplicity 4)

=====

Entry from the Open Quantum Materials Database: Pr2Sc2CI4Cl after structural relaxation (PBE).

## Properties
Total energy: -5.02 eV per atom
Relative energy among the computed polymorphs: 121.9 kJ/mol of formula units

Lattice parameters (Å, degrees): 18.511 3.891 8.477 90.00 103.04 90.00
Space group C2/m (No. 12)
Asymmetric unit:
Pr1 0.139 0.000 0.070 (multiplicity 4)
Sc1 0.000 0.500 0.179 (multiplicity 4)
C1 0.000 0.000 0.000 (multiplicity 2)
I1 0.155 0.500 0.363 (multiplicity 4)
I2 0.161 0.500 0.792 (multiplicity 4)
Cl1 0.000 0.000 0.500 (multiplicity 2)

=====

Entry from the Open Quantum Materials Database: Pr2Sc2CI3Cl2 after structural relaxation (PBE).

## Properties
Total energy: -5.22 eV per atom
Relative energy among the computed polymorphs: 61.7 kJ/mol of formula units

Lattice parameters (Å, degrees): 17.778 3.883 8.344 90.00 103.52 90.00
Space group C2/m (No. 12)
Asymmetric unit:
Pr1 0.143 0.000 0.065 (multiplicity 4)
Sc1 0.001 0.500 0.820 (multiplicity 4)
C1 0.000 0.000 0.000 (multiplicity 2)
I1 0.000 0.000 0.500 (multiplicity 2)
I2 0.165 0.500 0.363 (multiplicity 4)
Cl1 0.155 0.500 0.820 (multiplicity 4)

=====

Entry from the Open Quantum Materials Database: Pr2Sc2CICl4 after structural relaxation (PBE).

## Properties
Total energy: -5.55 eV per atom
Relative energy among the computed polymorphs: 30.4 kJ/mol of formula units

Lattice parameters (Å, degrees): 17.191 3.755 8.070 90.00 105.68 90.00
Space group C2/m (No. 12)
Asymmetric unit:
Pr1 0.150 0.000 0.087 (multiplicity 4)
Sc1 0.001 0.500 0.185 (multiplicity 4)
C1 0.000 0.000 0.000 (multiplicity 2)
I1 0.000 0.000 0.500 (multiplicity 2)
Cl1 0.155 0.500 0.348 (multiplicity 4)
Cl2 0.160 0.500 0.825 (multiplicity 4)

=====

Entry from the Open Quantum Materials Database: Pr2Sm2CI4Cl after structural relaxation (PBE).

## Properties
Total energy: -4.84 eV per atom
Relative energy among the computed polymorphs: 0.0 kJ/mol of formula units

Lattice parameters (Å, degrees): 19.457 4.032 8.450 90.00 101.96 90.00
Space group C2/m (No. 12)
Asymmetric unit:
Pr1 0.001 0.000 0.289 (multiplicity 4)
Sm1 0.130 0.500 0.566 (multiplicity 4)
C1 0.000 0.500 0.500 (multiplicity 2)
I1 0.165 0.000 0.851 (multiplicity 4)
I2 0.171 0.000 0.317 (multiplicity 4)
Cl1 0.000 0.500 0.000 (multiplicity 2)

=====

Entry from the Open Quantum Materials Database: Pr2Sm2CI2Cl3 after structural relaxation (PBE).

## Properties
Total energy: -5.13 eV per atom
Relative energy among the computed polymorphs: 15.4 kJ/mol of formula units

Lattice parameters (Å, degrees): 18.267 3.974 8.288 90.00 100.63 90.00
Space group C2/m (No. 12)
Asymmetric unit:
Pr1 0.005 0.000 0.288 (multiplicity 4)
Sm1 0.138 0.500 0.563 (multiplicity 4)
C1 0.000 0.500 0.500 (multiplicity 2)
I1 0.170 0.000 0.854 (multiplicity 4)
Cl1 0.000 0.500 0.000 (multiplicity 2)
Cl2 0.170 0.000 0.345 (multiplicity 4)

=====

Entry from the Open Quantum Materials Database: Pr2Sm2C2I2Cl3 after structural relaxation (PBE).

## Properties
Total energy: -5.58 eV per atom

Lattice parameters (Å, degrees): 19.883 3.953 8.080 90.00 102.22 90.00
Space group C2/m (No. 12)
Asymmetric unit:
Pr1 0.001 0.000 0.211 (multiplicity 4)
Sm1 0.150 0.500 0.094 (multiplicity 4)
C1 0.036 0.500 0.020 (multiplicity 4)
I1 0.170 0.000 0.803 (multiplicity 4)
Cl1 0.000 0.500 0.500 (multiplicity 2)
Cl2 0.153 0.000 0.338 (multiplicity 4)

=====

Entry from the Open Quantum Materials Database: Pr2Sm2CI2Cl3 after structural relaxation (PBE).

## Properties
Total energy: -5.11 eV per atom
Relative energy among the computed polymorphs: 27.1 kJ/mol of formula units

Lattice parameters (Å, degrees): 18.247 3.946 8.182 90.00 100.81 90.00
Space group C2/m (No. 12)
Asymmetric unit:
Pr1 0.141 0.000 0.064 (multiplicity 4)
Sm1 0.004 0.500 0.791 (multiplicity 4)
C1 0.000 0.000 0.000 (multiplicity 2)
I1 0.166 0.500 0.367 (multiplicity 4)
Cl1 0.000 0.000 0.500 (multiplicity 2)
Cl2 0.165 0.500 0.823 (multiplicity 4)

=====

Entry from the Open Quantum Materials Database: Pr2Sm2CI2Cl3 after structural relaxation (PBE).

## Properties
Total energy: -5.14 eV per atom
Relative energy among the computed polymorphs: 3.8 kJ/mol of formula units

Lattice parameters (Å, degrees): 18.853 3.924 8.137 90.00 101.79 90.00
Space group C2/m (No. 12)
Asymmetric unit:
Pr1 0.138 0.000 0.076 (multiplicity 4)
Sm1 0.001 0.500 0.789 (multiplicity 4)
C1 0.000 0.000 0.000 (multiplicity 2)
I1 0.172 0.500 0.793 (multiplicity 4)
Cl1 0.000 0.000 0.500 (multiplicity 2)
Cl2 0.149 0.500 0.334 (multiplicity 4)

=====

Entry from the Open Quantum Materials Database: Pr2Sm2CI4Cl after structural relaxation (PBE).

## Properties
Total energy: -4.82 eV per atom
Relative energy among the computed polymorphs: 18.2 kJ/mol of formula units

Lattice parameters (Å, degrees): 19.330 4.011 8.494 90.00 102.34 90.00
Space group C2/m (No. 12)
Asymmetric unit:
Pr1 0.135 0.000 0.068 (multiplicity 4)
Sm1 0.001 0.500 0.795 (multiplicity 4)
C1 0.000 0.000 0.000 (multiplicity 2)
I1 0.162 0.500 0.360 (multiplicity 4)
I2 0.169 0.500 0.804 (multiplicity 4)
Cl1 0.000 0.000 0.500 (multiplicity 2)

=====

Entry from the Open Quantum Materials Database: Pr2Sm2CI2Cl3 after structural relaxation (PBE).

## Properties
Total energy: -5.14 eV per atom
Relative energy among the computed polymorphs: 0.0 kJ/mol of formula units

Lattice parameters (Å, degrees): 18.888 3.964 8.217 90.00 102.26 90.00
Space group C2/m (No. 12)
Asymmetric unit:
Pr1 0.000 0.000 0.215 (multiplicity 4)
Sm1 0.135 0.500 0.074 (multiplicity 4)
C1 0.000 0.500 0.000 (multiplicity 2)
I1 0.174 0.000 0.807 (multiplicity 4)
Cl1 0.000 0.500 0.500 (multiplicity 2)
Cl2 0.155 0.000 0.320 (multiplicity 4)

=====

Entry from the Open Quantum Materials Database: Sm4C2I3Cl2 after structural relaxation (PBE).

## Properties
Total energy: -5.43 eV per atom

Lattice parameters (Å, degrees): 19.676 3.959 8.470 90.00 103.54 90.00
Space group C2/m (No. 12)
Asymmetric unit:
Sm1 0.003 0.000 0.193 (multiplicity 4)
Sm2 0.153 0.500 0.097 (multiplicity 4)
C1 0.037 0.500 0.021 (multiplicity 4)
I1 0.000 0.500 0.500 (multiplicity 2)
I2 0.167 0.000 0.813 (multiplicity 4)
Cl1 0.154 0.000 0.330 (multiplicity 4)

=====

Entry from the Open Quantum Materials Database: Sm4CI3Cl2 after structural relaxation (PBE).

## Properties
Total energy: -5.00 eV per atom
Relative energy among the computed polymorphs: 0.0 kJ/mol of formula units

Lattice parameters (Å, degrees): 18.622 3.979 8.655 90.00 100.38 90.00
Space group C2/m (No. 12)
Asymmetric unit:
Sm1 0.002 0.000 0.306 (multiplicity 4)
Sm2 0.135 0.500 0.566 (multiplicity 4)
C1 0.000 0.500 0.500 (multiplicity 2)
I1 0.000 0.500 0.000 (multiplicity 2)
I2 0.175 0.000 0.311 (multiplicity 4)
Cl1 0.150 0.000 0.797 (multiplicity 4)

=====

Entry from the Open Quantum Materials Database: Sm4C2I2Cl3 after structural relaxation (PBE).

## Properties
Total energy: -5.55 eV per atom

Lattice parameters (Å, degrees): 19.714 3.878 7.988 90.00 102.20 90.00
Space group C2/m (No. 12)
Asymmetric unit:
Sm1 0.002 0.000 0.208 (multiplicity 4)
Sm2 0.152 0.500 0.096 (multiplicity 4)
C1 0.037 0.500 0.020 (multiplicity 4)
I1 0.168 0.000 0.797 (multiplicity 4)
Cl1 0.000 0.500 0.500 (multiplicity 2)
Cl2 0.151 0.000 0.344 (multiplicity 4)

=====

Entry from the Open Quantum Materials Database: Sm4CI3Cl2 after structural relaxation (PBE).

## Properties
Total energy: -4.98 eV per atom
Relative energy among the computed polymorphs: 13.3 kJ/mol of formula units

Lattice parameters (Å, degrees): 17.880 3.991 8.758 90.00 102.67 90.00
Space group C2/m (No. 12)
Asymmetric unit:
Sm1 0.004 0.000 0.308 (multiplicity 4)
Sm2 0.142 0.500 0.568 (multiplicity 4)
C1 0.000 0.500 0.500 (multiplicity 2)
I1 0.000 0.500 0.000 (multiplicity 2)
I2 0.172 0.000 0.845 (multiplicity 4)
Cl1 0.170 0.000 0.357 (multiplicity 4)